(1)
# Sr2CaLaSe4

An optimized crystal structure of Sr2CaLaSe4 (PBE, Alexandria via LeMat-Bulk).

The crystal system is monoclinic. Its volume is 233.5 Å³ per cell. Its density of states at the Fermi level is 0.37 states/eV/atom. The calculation puts the spin magnetization at 0.000 μB per atom. The calculation puts the formation energy (no corrections) at -2.004 eV per atom. As for the mass density: 4.8 g/cm³.

The space group is P2/m (No. 10) and the conventional cell measures 7.531, 4.344 and 7.565 Å, with angles of 90.00, 109.38 and 90.00 degrees. The inequivalent atoms are Sr at (0.000, 0.000, 0.000), Sr at (0.500, 0.500, 0.000), Ca at (0.000, 0.500, 0.500), La at (0.500, 0.000, 0.500), Se at (0.244, 0.000, 0.738) and Se at (0.250, 0.500, 0.259).



(2)
# CaLa3Tb2Se6

An optimized crystal structure of CaLa3Tb2Se6 (PBE, Alexandria via LeMat-Bulk).

The crystal system is monoclinic. Its volume is 637.8 Å³ per cell. Its density of states at the Fermi level is 0.56 states/eV/atom. The calculation puts the spin magnetization at 0.000 μB per atom. The calculation puts the formation energy (no corrections) at -1.916 eV per atom. As for the mass density: 6.5 g/cm³.

The space group is C2/m (No. 12) and the conventional cell measures 7.272, 12.608 and 7.364 Å, with angles of 90.00, 109.16 and 90.00 degrees. The inequivalent atoms are Ca at (0.000, 0.000, 0.000), La at (0.000, 0.166, 0.500), La at (0.000, 0.500, 0.500), Tb at (0.000, 0.333, 0.000), Se at (0.243, 0.500, 0.232) and Se at (0.245, 0.167, 0.234).



(3)
# CaLaTb2Se4

An optimized crystal structure of CaLaTb2Se4 (PBE, Alexandria via LeMat-Bulk).

The crystal system is monoclinic. Its volume is 206.0 Å³ per cell. Its density of states at the Fermi level is 0.43 states/eV/atom. The calculation puts the spin magnetization at 0.000 μB per atom. The calculation puts the formation energy (no corrections) at -1.878 eV per atom. As for the mass density: 6.5 g/cm³.

The space group is P2/m (No. 10) and the conventional cell measures 7.245, 4.151 and 7.251 Å, with angles of 90.00, 109.10 and 90.00 degrees. The inequivalent atoms are Ca at (0.000, 0.000, 0.000), La at (0.000, 0.500, 0.500), Tb at (0.500, 0.000, 0.500), Tb at (0.500, 0.500, 0.000), Se at (0.258, 0.500, 0.247) and Se at (0.261, 0.000, 0.761).



(4)
# Ca4LaTb3Se8

An optimized crystal structure of Ca4LaTb3Se8 (PBE, Alexandria via LeMat-Bulk).

The crystal system is trigonal. Its volume is 1233.8 Å³ per cell. Its density of states at the Fermi level is 0.35 states/eV/atom. The calculation puts the spin magnetization at 0.000 μB per atom. The calculation puts the formation energy (no corrections) at -1.899 eV per atom. As for the mass density: 5.7 g/cm³.

The space group is R-3m (No. 166, hexagonal axes) and the conventional cell measures 8.2955, 8.2955 and 20.7021 Å, with angles of 90.00, 90.00 and 120.00 degrees. The inequivalent atoms are Ca at (0.0000, 0.0000, 0.0000), Ca at (0.0000, 0.5000, 0.0000), La at (0.0000, 0.0000, 0.5000), Tb at (0.0000, 0.5000, 0.5000), Se at (0.0000, 0.0000, 0.2487) and Se at (0.0078, 0.5039, 0.7494).



(5)
# CaLa2Tl3Se6

An optimized crystal structure of CaLa2Tl3Se6 (PBE, Alexandria via LeMat-Bulk).

The crystal system is monoclinic. Its volume is 749.4 Å³ per cell. Its density of states at the Fermi level is 0.53 states/eV/atom. The calculation puts the spin magnetization at 0.000 μB per atom. The calculation puts the formation energy (no corrections) at -1.310 eV per atom. As for the mass density: 6.2 g/cm³.

The space group is C2/m (No. 12) and the conventional cell measures 19.631, 4.402 and 9.014 Å, with angles of 90.00, 105.83 and 90.00 degrees. The inequivalent atoms are Ca at (0.000, 0.000, 0.000), La at (0.164, 0.500, 0.327), Tl at (0.000, 0.000, 0.500), Tl at (0.163, 0.500, 0.835), Se at (0.007, 0.500, 0.231), Se at (0.159, 0.000, 0.098) and Se at (0.174, 0.000, 0.563).



(6)
# CaLa2TmSe4

An optimized crystal structure of CaLa2TmSe4 (PBE, Alexandria via LeMat-Bulk).

The crystal system is monoclinic. Its volume is 210.8 Å³ per cell. Its density of states at the Fermi level is 0.50 states/eV/atom. The calculation puts the spin magnetization at 0.000 μB per atom. The calculation puts the formation energy (no corrections) at -1.901 eV per atom. As for the mass density: 6.3 g/cm³.

The space group is P2/m (No. 10) and the conventional cell measures 7.242, 4.169 and 7.379 Å, with angles of 90.00, 108.91 and 90.00 degrees. The inequivalent atoms are Ca at (0.000, 0.000, 0.000), La at (0.000, 0.500, 0.500), La at (0.500, 0.000, 0.500), Tm at (0.500, 0.500, 0.000), Se at (0.249, 0.500, 0.232) and Se at (0.261, 0.000, 0.772).



(7)
# CaLaTm2Se4

An optimized crystal structure of CaLaTm2Se4 (PBE, Alexandria via LeMat-Bulk).

The crystal system is monoclinic. Its volume is 200.2 Å³ per cell. Its density of states at the Fermi level is 0.43 states/eV/atom. The calculation puts the spin magnetization at 0.000 μB per atom. The calculation puts the formation energy (no corrections) at -1.826 eV per atom. As for the mass density: 6.9 g/cm³.

The space group is P2/m (No. 10) and the conventional cell measures 7.179, 4.105 and 7.185 Å, with angles of 90.00, 109.02 and 90.00 degrees. The inequivalent atoms are Ca at (0.000, 0.000, 0.000), La at (0.500, 0.500, 0.000), Tm at (0.000, 0.500, 0.500), Tm at (0.500, 0.000, 0.500), Se at (0.237, 0.000, 0.732) and Se at (0.249, 0.500, 0.265).



(8)
# Ca2LaTmSe4

An optimized crystal structure of Ca2LaTmSe4 (PBE, Alexandria via LeMat-Bulk).

The crystal system is monoclinic. Its volume is 207.5 Å³ per cell. Its density of states at the Fermi level is 0.47 states/eV/atom. The calculation puts the spin magnetization at 0.000 μB per atom. The calculation puts the formation energy (no corrections) at -1.888 eV per atom. As for the mass density: 5.6 g/cm³.

The space group is P2/m (No. 10) and the conventional cell measures 7.232, 4.159 and 7.300 Å, with angles of 90.00, 109.11 and 90.00 degrees. The inequivalent atoms are Ca at (0.000, 0.000, 0.000), Ca at (0.500, 0.500, 0.000), La at (0.000, 0.500, 0.500), Tm at (0.500, 0.000, 0.500), Se at (0.263, 0.500, 0.254) and Se at (0.264, 0.000, 0.755).



(9)
# CaLaTm4Se8

An optimized crystal structure of CaLaTm4Se8 (PBE, Alexandria via LeMat-Bulk).

The crystal system is trigonal. Its volume is 1280.5 Å³ per cell. Its density of states at the Fermi level is 0.31 states/eV/atom. The calculation puts the spin magnetization at 0.000 μB per atom. The calculation puts the formation energy (no corrections) at -1.792 eV per atom. As for the mass density: 5.8 g/cm³.

The space group is R3m (No. 160, hexagonal axes) and the conventional cell measures 8.3781, 8.3781 and 21.0644 Å, with angles of 90.00, 90.00 and 120.00 degrees. The inequivalent atoms are Ca at (0.0000, 0.0000, 0.0000), La at (0.0000, 0.0000, 0.3713), Tm at (0.0000, 0.0000, 0.7465), Tm at (0.0051, 0.5026, 0.8735), Se at (0.0000, 0.0000, 0.1339), Se at (0.0000, 0.0000, 0.6146), Se at (0.0104, 0.5052, 0.1301) and Se at (0.1764, 0.3527, 0.9474).



(10)
# CaLaW2Se

An optimized crystal structure of CaLaW2Se (PBE, Alexandria via LeMat-Bulk).

The crystal system is tetragonal. Its volume is 136.8 Å³ per cell. Its density of states at the Fermi level is 1.06 states/eV/atom. The calculation puts the spin magnetization at 0.000 μB per atom. The calculation puts the formation energy (no corrections) at 2.071 eV per atom. As for the mass density: 7.6 g/cm³.

The space group is P4/mmm (No. 123) and the conventional cell measures 4.870, 4.870 and 5.770 Å, with angles of 90.00, 90.00 and 90.00 degrees. The inequivalent atoms are Ca at (0.000, 0.000, 0.000), La at (0.000, 0.000, 0.500), W at (0.000, 0.500, 0.500) and Se at (0.500, 0.500, 0.000).



Among the records above, which one has the highest mass density? CaLaW2Se



Repeat the ninth record exactly.
# CaLaTm4Se8

An optimized crystal structure of CaLaTm4Se8 (PBE, Alexandria via LeMat-Bulk).

The crystal system is trigonal. Its volume is 1280.5 Å³ per cell. Its density of states at the Fermi level is 0.31 states/eV/atom. The calculation puts the spin magnetization at 0.000 μB per atom. The calculation puts the formation energy (no corrections) at -1.792 eV per atom. As for the mass density: 5.8 g/cm³.

The space group is R3m (No. 160, hexagonal axes) and the conventional cell measures 8.3781, 8.3781 and 21.0644 Å, with angles of 90.00, 90.00 and 120.00 degrees. The inequivalent atoms are Ca at (0.0000, 0.0000, 0.0000), La at (0.0000, 0.0000, 0.3713), Tm at (0.0000, 0.0000, 0.7465), Tm at (0.0051, 0.5026, 0.8735), Se at (0.0000, 0.0000, 0.1339), Se at (0.0000, 0.0000, 0.6146), Se at (0.0104, 0.5052, 0.1301) and Se at (0.1764, 0.3527, 0.9474).